# 1
Computed, not measured: a relaxed structure of SrBi2Ir at the PBE-GGA level of DFT. Values from VASP.

Results
**M_tot**: 0.000 μB/f.u.
**Calculated density**: 9.79 g/cm³
**Electronic total energy**: -4.806 eV per atom
**DOS at the Fermi energy**: 5.382 states/eV per cell
**Energy relative to the elements**: -230.0 meV/atom

The structure in Quantum ESPRESSO input format:
```
&SYSTEM
  ibrav = 0, nat = 8, ntyp = 3
/
ATOMIC_SPECIES
Sr 87.62 Sr.upf
Bi 208.98 Bi.upf
Ir 192.22 Ir.upf
ATOMIC_POSITIONS angstrom
Sr 0.000 0.000 0.000
Sr 0.000 4.316 1.588
Bi 2.158 -1.487 2.382
Bi 2.830 2.158 0.794
Bi 2.158 5.803 -0.794
Bi 1.487 2.158 3.970
Ir 4.316 0.000 1.588
Ir 0.000 0.000 3.176
CELL_PARAMETERS angstrom
-4.316 4.316 3.176
4.316 -4.316 3.176
4.316 4.316 -3.176
```

# 2
Computed, not measured: a relaxed structure of LiZnAs3 at the PBE-GGA level of DFT. Values from VASP.

Results
**M_tot**: 0.000 μB/f.u.
**Calculated density**: 5.07 g/cm³
**Electronic total energy**: -2.925 eV per atom
**DOS at the Fermi energy**: 2.017 states/eV per cell
**Energy relative to the elements**: 502.0 meV/atom

The structure in Quantum ESPRESSO input format:
```
&SYSTEM
  ibrav = 0, nat = 5, ntyp = 3
/
ATOMIC_SPECIES
Li 6.94 Li.upf
Zn 65.41 Zn.upf
As 74.92 As.upf
ATOMIC_POSITIONS angstrom
Li 0.000 0.000 0.000
Zn 2.300 2.300 2.300
As 0.000 0.000 2.300
As 0.000 2.300 0.000
As 2.300 0.000 0.000
CELL_PARAMETERS angstrom
4.599 0.000 0.000
0.000 4.599 0.000
0.000 0.000 4.599
```

# 3
Computed, not measured: a relaxed structure of LaTh2Tl3 at the PBE-GGA level of DFT. Values from VASP.

Results
**M_tot**: 0.001 μB/f.u.
**Calculated density**: 11.34 g/cm³
**Electronic total energy**: -4.710 eV per atom
**DOS at the Fermi energy**: 7.716 states/eV per cell
**Energy relative to the elements**: -232.7 meV/atom

The structure in Quantum ESPRESSO input format:
```
&SYSTEM
  ibrav = 0, nat = 6, ntyp = 3
/
ATOMIC_SPECIES
La 138.91 La.upf
Th 232.04 Th.upf
Tl 204.38 Tl.upf
ATOMIC_POSITIONS angstrom
La 0.000 0.000 0.000
Th 0.000 0.000 4.660
Th 0.000 0.000 9.251
Tl 1.789 1.789 2.349
Tl 1.789 1.789 6.955
Tl 1.789 1.789 11.562
CELL_PARAMETERS angstrom
3.578 0.000 0.000
0.000 3.578 0.000
0.000 0.000 13.910
```

# 4
Computed, not measured: a relaxed structure of LaZrTc2 at the PBE-GGA level of DFT. Values from VASP.

Results
**M_tot**: 0.000 μB/f.u.
**Calculated density**: 8.32 g/cm³
**Electronic total energy**: -8.278 eV per atom
**DOS at the Fermi energy**: 3.813 states/eV per cell
**Energy relative to the elements**: 273.6 meV/atom

The structure in Quantum ESPRESSO input format:
```
&SYSTEM
  ibrav = 0, nat = 4, ntyp = 3
/
ATOMIC_SPECIES
La 138.91 La.upf
Zr 91.22 Zr.upf
Tc 98.00 Tc.upf
ATOMIC_POSITIONS angstrom
La 0.000 0.000 0.000
Zr 3.739 0.000 3.067
Tc 1.367 0.000 4.261
Tc 6.110 0.000 1.872
CELL_PARAMETERS angstrom
4.216 -1.645 0.000
4.216 1.645 0.000
-0.954 0.000 6.134
```

# 5
Computed, not measured: a relaxed structure of ErSbRh2 at the PBE-GGA level of DFT. Values from VASP.

Results
**M_tot**: 0.000 μB/f.u.
**Calculated density**: 11.19 g/cm³
**Formation energy without anion corrections**: -0.74 eV/atom
**Electronic total energy**: -6.586 eV per atom
**DOS at the Fermi energy**: 3.372 states/eV per cell

The structure in Quantum ESPRESSO input format:
```
&SYSTEM
  ibrav = 0, nat = 4, ntyp = 3
/
ATOMIC_SPECIES
Er 167.26 Er.upf
Sb 121.76 Sb.upf
Rh 102.91 Rh.upf
ATOMIC_POSITIONS angstrom
Er 0.000 0.000 0.000
Sb 2.221 2.221 0.000
Rh 0.000 2.221 1.860
Rh 2.221 0.000 1.860
CELL_PARAMETERS angstrom
4.443 0.000 0.000
0.000 4.443 0.000
0.000 0.000 3.721
```

# 6
Computed, not measured: a relaxed structure of Tb7PrY3 at the PBE-GGA level of DFT. Values from VASP.

Results
**M_tot**: 0.000 μB/f.u.
**Calculated density**: 6.89 g/cm³
**Electronic total energy**: -5.001 eV per atom
**DOS at the Fermi energy**: 16.724 states/eV per cell
**Energy relative to the elements**: 143.2 meV/atom

The structure in Quantum ESPRESSO input format:
```
&SYSTEM
  ibrav = 0, nat = 11, ntyp = 3
/
ATOMIC_SPECIES
Tb 158.93 Tb.upf
Pr 140.91 Pr.upf
Y 88.91 Y.upf
ATOMIC_POSITIONS angstrom
Tb 0.000 0.000 0.000
Tb 0.021 2.795 2.717
Tb 0.079 2.795 5.997
Tb 0.089 0.000 7.751
Tb 3.500 0.000 1.569
Tb 3.510 2.795 3.322
Tb 3.567 2.795 6.603
Pr -1.720 0.000 4.660
Y -1.485 2.795 9.308
Y 1.794 0.000 4.660
Y 5.074 2.795 0.011
CELL_PARAMETERS angstrom
7.029 0.000 0.000
0.000 5.589 0.000
-3.441 0.000 9.320
```

Sequential calculated volume output: 29.6, 19.5, 29.7, 21.3, 18.4, 33.3 Å³ per atom